Entry 1:
Crystalline KNb4HN5 at its relaxed geometry, computed with PBE.

```
KNb4HN5
1.0
-3.487 2.271 0.174
-0.454 -0.382 -4.122
-4.527 -7.038 1.150
H K N Nb
1 1 5 4
direct
0.000 0.000 0.500 H
0.500 0.500 0.500 K
0.500 0.500 0.000 N
0.500 0.000 0.254 N
0.000 0.500 0.254 N
0.500 0.000 0.746 N
0.000 0.500 0.746 N
0.500 0.000 0.000 Nb
0.000 0.500 0.000 Nb
0.000 0.000 0.271 Nb
0.000 0.000 0.729 Nb
```

Properties
The calculation puts the total energy at -8.210 eV per atom. The symmetry is P4/mmm (123). For the calculated density, the calculation gives 5.5 g/cm³.

Entry 2:
Crystalline Dy2Ag2Se3S at its relaxed geometry, computed with PBE.

```
Dy2Ag2Se3S
1.0
-3.098 2.007 -5.617
-4.735 -4.621 1.184
-2.177 2.878 2.281
Ag Dy S Se
2 2 1 3
direct
0.502 0.002 0.016 Ag
0.002 0.502 0.016 Ag
0.006 0.006 0.204 Dy
0.490 0.490 0.787 Dy
0.299 0.299 0.266 S
0.701 0.701 0.283 Se
0.797 0.203 0.714 Se
0.203 0.797 0.714 Se
```

Properties
The calculation puts the total energy at -4.930 eV per atom. The symmetry is Cm (8). For the calculated density, the calculation gives 7.0 g/cm³.

Entry 3:
Crystalline CsRbHfS3 at its relaxed geometry, computed with PBE.

```
CsRbHfS3
1.0
8.325 0.000 0.000
0.000 3.895 0.000
-1.285 0.000 10.650
Cs Hf Rb S
2 2 2 6
direct
0.421 0.250 0.351 Cs
0.579 0.750 0.649 Cs
0.909 0.750 0.334 Hf
0.091 0.250 0.666 Hf
0.246 0.750 0.017 Rb
0.754 0.250 0.983 Rb
0.656 0.750 0.200 S
0.039 0.250 0.221 S
0.829 0.250 0.481 S
0.171 0.750 0.519 S
0.961 0.750 0.779 S
0.344 0.250 0.800 S
```

Properties
The calculation puts the total energy at -5.436 eV per atom. The symmetry is P2_1/m (11). For the calculated density, the calculation gives 4.7 g/cm³. The calculation puts the energy above the most stable polymorph in this dataset at 0.000 eV/atom.

Entry 4:
Crystalline RbZrTe2AuSe at its relaxed geometry, computed with PBE.

```
RbZrTe2AuSe
1.0
2.070 -8.181 0.000
2.070 8.181 0.000
0.000 0.000 10.704
Au Rb Se Te Zr
2 2 2 4 2
direct
0.039 0.961 0.250 Au
0.961 0.039 0.750 Au
0.753 0.247 0.250 Rb
0.247 0.753 0.750 Rb
0.438 0.562 0.250 Se
0.562 0.438 0.750 Se
0.127 0.873 0.035 Te
0.127 0.873 0.465 Te
0.873 0.127 0.535 Te
0.873 0.127 0.965 Te
0.500 0.500 0.000 Zr
0.500 0.500 0.500 Zr
```

Properties
The calculation puts the total energy at -4.579 eV per atom. The symmetry is Cmcm (63). For the calculated density, the calculation gives 6.5 g/cm³.

Entry 5:
Crystalline Nd2Hf at its relaxed geometry, computed with PBE.

```
Nd2Hf
1.0
4.413 2.548 7.206
-4.413 2.548 7.206
0.000 -5.096 7.206
Hf Nd
2 4
direct
0.250 0.250 0.250 Hf
0.500 0.500 0.500 Hf
0.875 0.375 0.375 Nd
0.375 0.875 0.375 Nd
0.375 0.375 0.375 Nd
0.375 0.375 0.875 Nd
```

Properties
The calculation puts the total energy at -4.291 eV per atom. The formation energy comes out at 2202.7 meV/atom. The symmetry is Fd-3m (227). For the calculated density, the calculation gives 3.2 g/cm³. The calculation puts the energy above the most stable polymorph in this dataset at 1.516 eV/atom.

Entry 6:
Crystalline LuAlCoOs at its relaxed geometry, computed with PBE.

```
LuAlCoOs
1.0
0.000 3.190 3.190
3.190 0.000 3.190
3.190 3.190 0.000
Al Co Lu Os
1 1 1 1
direct
0.000 0.000 0.000 Al
0.750 0.750 0.750 Co
0.250 0.250 0.250 Lu
0.500 0.500 0.500 Os
```

Properties
The calculation puts the total energy at -6.499 eV per atom. The symmetry is F-43m (216). For the calculated density, the calculation gives 11.5 g/cm³. The calculation puts the energy above the most stable polymorph in this dataset at 0.412 eV/atom.

Entry 7:
Crystalline Cs2RbAs2Pd3 at its relaxed geometry, computed with PBE.

```
Cs2RbAs2Pd3
1.0
3.023 1.745 7.447
-3.023 1.745 7.447
0.000 -3.490 7.447
As Cs Pd Rb
2 2 3 1
direct
0.255 0.255 0.255 As
0.745 0.745 0.745 As
0.088 0.088 0.088 Cs
0.912 0.912 0.912 Cs
0.500 0.500 0.000 Pd
0.500 0.000 0.500 Pd
0.000 0.500 0.500 Pd
0.500 0.500 0.500 Rb
```

Properties
The calculation puts the total energy at -3.779 eV per atom. The symmetry is R-3m (166). For the calculated density, the calculation gives 5.8 g/cm³.

Entry 8:
Crystalline HoErLu2 at its relaxed geometry, computed with PBE.

```
HoErLu2
1.0
3.543 -6.139 0.000
3.543 6.139 0.000
0.000 0.000 5.492
Er Ho Lu
2 2 4
direct
0.334 0.666 0.250 Er
0.666 0.334 0.750 Er
0.834 0.166 0.250 Ho
0.166 0.834 0.750 Ho
0.333 0.168 0.250 Lu
0.832 0.667 0.250 Lu
0.168 0.333 0.750 Lu
0.667 0.832 0.750 Lu
```

Properties
The calculation puts the total energy at -4.548 eV per atom. The formation energy comes out at -1.0 meV/atom. The symmetry is Cmcm (63). For the calculated density, the calculation gives 9.5 g/cm³.